Arrangement A

# Zn2HRu

A relaxed Zn2HRu crystal (PBE-GGA, Alexandria via LeMat-Bulk).

Computed properties:
The value obtained for the size of the total moment is 0.000 μB/atom. As for the space group: Fm-3m (225).

```
4
Lattice="0.000 2.950 2.950 2.950 0.000 2.950 2.950 2.950 0.000" Properties=species:S:1:pos:R:3 pbc="T T T"
Ru 2.950 2.950 2.950
H 0.000 0.000 0.000
Zn 1.475 1.475 1.475
Zn 4.426 4.426 4.426
```

Arrangement B

# Zn2HRu

A relaxed Zn2HRu crystal (PBE-GGA, Alexandria via LeMat-Bulk).

Computed properties:
The value obtained for the size of the total moment is 0.000 μB/atom. As for the space group: Imma (74).

```
8
Lattice="5.543 0.000 3.051 2.553 4.072 1.922 0.804 -0.357 5.101" Properties=species:S:1:pos:R:3 pbc="T T T"
Ru 6.721 2.901 7.473
Ru 2.179 0.813 2.601
H 4.235 3.623 5.429
H 4.666 0.091 4.645
Zn 5.353 0.827 6.677
Zn 3.547 2.887 3.397
Zn 2.581 0.827 5.152
Zn 6.319 2.887 4.922
```

Arrangement C

# Zn2HRu

A relaxed Zn2HRu crystal (PBE-GGA, Alexandria via LeMat-Bulk).

Computed properties:
The value obtained for the size of the total moment is 0.000 μB/atom. As for the space group: I-42d (122).

```
8
Lattice="-3.143 4.320 3.989 -5.846 -2.782 -1.593 -4.296 -0.566 2.800" Properties=species:S:1:pos:R:3 pbc="T T T"
Ru 0.000 0.000 0.000
Ru -5.967 2.262 3.993
H -7.318 -1.290 1.202
H -4.495 0.769 1.198
Zn -5.396 -0.962 0.552
Zn -10.576 1.165 4.335
Zn -3.494 1.833 2.645
Zn -7.104 -0.091 2.859
```

Relative energy of each structure, in eV/atom: arrangement A 0.730; arrangement B 0.000; arrangement C 0.235.

Arrangement A

# Zn3HRu

A relaxed Zn3HRu crystal (PBE-GGA, Alexandria via LeMat-Bulk).

Computed properties:
The value obtained for the size of the total moment is 0.043 μB/atom. As for the space group: Pm-3m (221).

```
5
Lattice="3.884 0.000 0.000 0.000 3.884 0.000 0.000 0.000 3.884" Properties=species:S:1:pos:R:3 pbc="T T T"
H 0.000 0.000 0.000
Zn 0.000 0.000 1.942
Zn 0.000 1.942 0.000
Zn 1.942 0.000 0.000
Ru 1.942 1.942 1.942
```

Arrangement B

# Zn3HRu

A relaxed Zn3HRu crystal (PBE-GGA, Alexandria via LeMat-Bulk).

Computed properties:
The value obtained for the size of the total moment is 0.275 μB/atom. As for the space group: Pm-3m (221).

```
5
Lattice="-4.728 -0.276 0.984 0.841 -3.696 3.006 0.580 3.109 3.660" Properties=species:S:1:pos:R:3 pbc="T T T"
Zn 0.290 1.555 1.830
Zn 0.421 -1.848 1.503
Zn -2.364 -0.138 0.492
Ru 0.000 0.000 0.000
H -1.653 -0.431 3.825
```

Relative energy of each structure, in eV/atom: arrangement A 0.000; arrangement B 0.817.

Arrangement A

# Zr2ZnHRu

A relaxed Zr2ZnHRu crystal (PBE-GGA, Alexandria via LeMat-Bulk).

Computed properties:
The value obtained for the size of the total moment is 0.000 μB/atom. As for the space group: P4/mmm (123).

```
5
Lattice="-0.980 -2.021 -3.801 3.542 -2.593 0.465 -2.099 -2.529 1.886" Properties=species:S:1:pos:R:3 pbc="T T T"
H 0.000 0.000 0.000
Zr -0.490 -1.010 -1.900
Zr 1.771 -1.297 0.233
Ru 0.232 -3.571 -0.725
Zn -1.049 -1.264 0.943
```

Arrangement B

# Zr2ZnHRu

A relaxed Zr2ZnHRu crystal (PBE-GGA, Alexandria via LeMat-Bulk).

Computed properties:
The value obtained for the size of the total moment is 0.000 μB/atom. As for the space group: P4/mmm (123).

```
5
Lattice="-4.165 1.842 0.739 -0.614 -2.829 3.593 1.457 2.427 2.160" Properties=species:S:1:pos:R:3 pbc="T T T"
H 0.000 0.000 0.000
Zr -2.082 0.921 0.369
Zr -0.307 -1.414 1.796
Zn -1.661 0.720 3.246
Ru 0.728 1.213 1.080
```

Relative energy of each structure, in eV/atom: arrangement A 0.081; arrangement B 0.000.

Arrangement A

# ZrH2Ru

A relaxed ZrH2Ru crystal (PBE-GGA, Alexandria via LeMat-Bulk).

Computed properties:
The value obtained for the size of the total moment is 0.000 μB/atom. As for the space group: Fm-3m (225).

```
4
Lattice="0.855 -3.780 -0.195 -2.753 -2.566 -0.945 0.114 -1.788 -3.442" Properties=species:S:1:pos:R:3 pbc="T T T"
Zr 0.000 0.000 0.000
H -1.338 -6.100 -3.436
H -0.446 -2.033 -1.145
Ru -0.892 -4.067 -2.291
```

Arrangement B

# ZrH2Ru

A relaxed ZrH2Ru crystal (PBE-GGA, Alexandria via LeMat-Bulk).

Computed properties:
The value obtained for the size of the total moment is 0.000 μB/atom. As for the space group: Pna2_1 (33).

```
16
Lattice="4.658 0.000 0.000 0.000 6.078 0.000 0.000 0.000 5.973" Properties=species:S:1:pos:R:3 pbc="T T T"
Ru 4.539 0.265 4.125
Ru 2.210 5.813 1.848
Ru 4.539 3.304 4.834
Ru 2.210 2.774 1.139
H 2.247 1.019 0.540
H 3.874 3.011 0.527
H 1.546 0.028 3.514
H 3.874 6.050 2.459
H 4.575 5.059 5.433
H 4.575 2.020 3.527
H 1.546 3.067 5.446
H 2.247 4.058 2.446
Zr 4.585 1.009 0.776
Zr 2.256 5.069 5.197
Zr 2.256 2.030 3.762
Zr 4.585 4.048 2.211
```

Relative energy of each structure, in eV/atom: arrangement A 0.493; arrangement B 0.000.

Arrangement A

# Zr3HRu

A relaxed Zr3HRu crystal (PBE-GGA, Alexandria via LeMat-Bulk).

Computed properties:
The value obtained for the size of the total moment is 0.000 μB/atom. As for the space group: Pm-3m (221).

```
5
Lattice="4.367 0.000 0.000 0.000 4.367 0.000 0.000 0.000 4.367" Properties=species:S:1:pos:R:3 pbc="T T T"
H 0.000 0.000 0.000
Zr 0.000 0.000 2.183
Zr 0.000 2.183 0.000
Zr 2.183 0.000 0.000
Ru 2.183 2.183 2.183
```

Arrangement B

# Zr3HRu

A relaxed Zr3HRu crystal (PBE-GGA, Alexandria via LeMat-Bulk).

Computed properties:
The value obtained for the size of the total moment is 0.275 μB/atom. As for the space group: Pm-3m (221).

```
5
Lattice="-4.133 2.438 -1.553 -2.090 -4.392 -1.333 -1.997 -0.448 4.609" Properties=species:S:1:pos:R:3 pbc="T T T"
Zr -1.045 -2.196 -0.666
Zr -0.998 -0.224 2.305
Zr -2.066 1.219 -0.777
H -4.110 -1.201 0.862
Ru 0.000 0.000 0.000
```

Relative energy of each structure, in eV/atom: arrangement A 0.000; arrangement B 1.033.

Arrangement A

# HS3

A relaxed HS3 crystal (PBE-GGA, Alexandria via LeMat-Bulk).

Computed properties:
The value obtained for the size of the total moment is 0.000 μB/atom. As for the space group: Imm2 (44).

```
4
Lattice="3.026 0.000 0.000 0.000 4.978 0.000 -1.513 -2.489 4.971" Properties=species:S:1:pos:R:3 pbc="T T T"
S 1.513 4.138 1.459
S 1.513 2.739 0.000
S 0.000 1.650 3.513
H 0.000 4.746 0.000
```

Arrangement B

# HS3

A relaxed HS3 crystal (PBE-GGA, Alexandria via LeMat-Bulk).

Computed properties:
The value obtained for the size of the total moment is 0.000 μB/atom. As for the space group: P-1 (2).

```
8
Lattice="-2.665 8.868 6.628 -2.746 4.175 2.436 -3.486 -6.763 7.598" Properties=species:S:1:pos:R:3 pbc="T T T"
S -5.295 9.815 10.058
S -7.018 3.674 14.779
S -1.878 2.607 1.883
S -3.602 -3.535 6.604
S -3.422 -0.388 5.247
S -5.475 6.668 11.415
H -1.964 1.663 4.373
H -6.932 4.617 12.289
```

Relative energy of each structure, in eV/atom: arrangement A 0.500; arrangement B 0.000.

Arrangement A

# Sb2TeHS

A relaxed Sb2TeHS crystal (PBE-GGA, Alexandria via LeMat-Bulk).

Computed properties:
The value obtained for the size of the total moment is 0.086 μB/atom. As for the space group: P4/mmm (123).

```
5
Lattice="5.277 0.000 0.000 0.000 5.277 0.000 0.000 0.000 5.307" Properties=species:S:1:pos:R:3 pbc="T T T"
Te 0.000 0.000 2.654
Sb 2.639 0.000 0.000
Sb 0.000 2.639 0.000
S 0.000 0.000 0.000
H 2.639 2.639 2.654
```

Arrangement B

# Sb2TeHS

A relaxed Sb2TeHS crystal (PBE-GGA, Alexandria via LeMat-Bulk).

Computed properties:
The value obtained for the size of the total moment is 0.000 μB/atom. As for the space group: P4/mmm (123).

```
5
Lattice="5.099 0.000 0.000 0.000 5.099 0.000 0.000 0.000 4.046" Properties=species:S:1:pos:R:3 pbc="T T T"
H 0.000 0.000 0.000
Sb 2.550 0.000 0.000
Sb 0.000 2.550 0.000
Te 0.000 0.000 2.023
S 2.550 2.550 2.023
```

Relative energy of each structure, in eV/atom: arrangement A 0.443; arrangement B 0.000.

Arrangement A

# ScH2S

A relaxed ScH2S crystal (PBE-GGA, Alexandria via LeMat-Bulk).

Computed properties:
The value obtained for the size of the total moment is 0.000 μB/atom. As for the space group: Fm-3m (225).

```
4
Lattice="0.000 2.732 2.732 2.732 0.000 2.732 2.732 2.732 0.000" Properties=species:S:1:pos:R:3 pbc="T T T"
H 1.366 1.366 1.366
H 4.098 4.098 4.098
Sc 2.732 2.732 2.732
S 0.000 0.000 0.000
```

Arrangement B

# ScH2S

A relaxed ScH2S crystal (PBE-GGA, Alexandria via LeMat-Bulk).

Computed properties:
The value obtained for the size of the total moment is 0.000 μB/atom. As for the space group: I4_1/amd (141).

```
8
Lattice="-1.377 -2.916 -1.500 -1.119 -1.112 3.187 -8.255 1.864 -0.263" Properties=species:S:1:pos:R:3 pbc="T T T"
H -7.535 -1.292 -1.113
H -3.408 -2.223 -0.980
H -6.848 0.165 -0.361
H -3.968 -2.781 0.613
S -1.248 -2.014 0.843
S -5.311 -0.631 1.884
Sc 0.000 0.000 0.000
Sc -5.440 -1.533 -0.460
```

Relative energy of each structure, in eV/atom: arrangement A 0.174; arrangement B 0.000.

Arrangement A

# H3SeS

A relaxed H3SeS crystal (PBE-GGA, Alexandria via LeMat-Bulk).

Computed properties:
The value obtained for the size of the total moment is 0.000 μB/atom. As for the space group: R3m (160).

```
10
Lattice="-1.675 0.829 4.803 3.810 1.506 3.127 -0.288 5.029 1.090" Properties=species:S:1:pos:R:3 pbc="T T T"
Se 1.419 5.655 6.927
Se 0.495 1.973 2.417
H 0.637 5.271 4.216
H 2.448 3.715 5.115
H 2.623 6.269 5.563
H 0.026 3.415 5.857
H -0.439 5.890 6.500
H 1.850 3.924 7.636
S 0.037 0.146 0.178
S 0.960 3.828 4.689
```

Arrangement B

# H3SeS

A relaxed H3SeS crystal (PBE-GGA, Alexandria via LeMat-Bulk).

Computed properties:
The value obtained for the size of the total moment is 0.118 μB/atom. As for the space group: Pm-3m (221).

```
5
Lattice="3.603 0.000 0.000 0.000 3.603 0.000 0.000 0.000 3.603" Properties=species:S:1:pos:R:3 pbc="T T T"
H 0.000 1.802 0.000
H 1.802 0.000 0.000
H 0.000 0.000 1.802
Se 1.802 1.802 1.802
S 0.000 0.000 0.000
```

Relative energy of each structure, in eV/atom: arrangement A 0.000; arrangement B 0.619.

Arrangement A

# H3SeS

A relaxed H3SeS crystal (PBE-GGA, Alexandria via LeMat-Bulk).

Computed properties:
The value obtained for the size of the total moment is 0.202 μB/atom. As for the space group: Pm-3m (221).

```
5
Lattice="-1.477 0.840 3.284 2.490 -2.162 1.673 2.300 2.880 0.298" Properties=species:S:1:pos:R:3 pbc="T T T"
H 1.245 -1.081 0.836
H 1.150 1.440 0.149
H -0.738 0.420 1.642
S 1.657 0.779 2.627
Se 0.000 0.000 0.000
```

Arrangement B

# H3SeS

A relaxed H3SeS crystal (PBE-GGA, Alexandria via LeMat-Bulk).

Computed properties:
The value obtained for the size of the total moment is 0.000 μB/atom. As for the space group: P-1 (2).

```
10
Lattice="-1.044 4.783 1.839 -5.154 2.654 -1.676 -4.612 -0.617 7.248" Properties=species:S:1:pos:R:3 pbc="T T T"
H -4.410 1.032 5.462
H -6.400 5.788 1.950
H -5.089 4.014 6.678
H -5.721 2.806 0.734
H -7.628 2.444 5.496
H -3.182 4.375 1.916
Se -7.111 2.113 6.873
Se -3.698 4.707 0.539
S -3.328 0.377 4.982
S -7.482 6.442 2.430
```

Relative energy of each structure, in eV/atom: arrangement A 0.917; arrangement B 0.000.

Arrangement A

# HSeS2

A relaxed HSeS2 crystal (PBE-GGA, Alexandria via LeMat-Bulk).

Computed properties:
The value obtained for the size of the total moment is 0.000 μB/atom. As for the space group: I-42d (122).

```
8
Lattice="-3.092 4.529 1.676 -3.059 -3.376 3.483 -0.502 1.254 5.495" Properties=species:S:1:pos:R:3 pbc="T T T"
H -3.075 0.577 2.579
H -3.318 -0.772 5.779
S -2.632 -0.924 3.873
S -5.551 2.178 8.400
S -2.231 2.417 2.743
S -2.889 1.145 6.291
Se -3.334 3.180 4.875
Se 0.000 0.000 0.000
```

Arrangement B

# HSeS2

A relaxed HSeS2 crystal (PBE-GGA, Alexandria via LeMat-Bulk).

Computed properties:
The value obtained for the size of the total moment is 0.000 μB/atom. As for the space group: Fm-3m (225).

```
4
Lattice="0.000 3.100 3.100 3.100 0.000 3.100 3.100 3.100 0.000" Properties=species:S:1:pos:R:3 pbc="T T T"
S 4.650 4.650 4.650
S 1.550 1.550 1.550
Se 3.100 3.100 3.100
H 0.000 0.000 0.000
```

Arrangement C

# HSeS2

A relaxed HSeS2 crystal (PBE-GGA, Alexandria via LeMat-Bulk).

Computed properties:
The value obtained for the size of the total moment is 0.000 μB/atom. As for the space group: R-3m (166).

```
4
Lattice="-0.222 -5.150 3.354 2.957 -5.333 0.797 3.212 -3.117 4.218" Properties=species:S:1:pos:R:3 pbc="T T T"
S 0.574 -1.312 0.807
S 5.373 -12.288 7.562
Se 2.973 -6.800 4.184
H 0.000 0.000 0.000
```

Relative energy of each structure, in eV/atom: arrangement A 0.284; arrangement B 0.684; arrangement C 0.000.

Arrangement A

# SiH2SeS

A relaxed SiH2SeS crystal (PBE-GGA, Alexandria via LeMat-Bulk).

Computed properties:
The value obtained for the size of the total moment is 0.000 μB/atom. As for the space group: P1 (1).

```
5
Lattice="-1.985 1.474 -2.745 3.894 -2.389 -2.633 -3.641 -5.283 1.290" Properties=species:S:1:pos:R:3 pbc="T T T"
H -1.291 -6.325 -2.371
H -1.454 -5.900 -1.770
Si 0.124 -1.932 -0.926
Se -0.841 -2.661 -3.156
S -2.895 -2.004 -2.481
```

Arrangement B

# SiH2SeS

A relaxed SiH2SeS crystal (PBE-GGA, Alexandria via LeMat-Bulk).

Computed properties:
The value obtained for the size of the total moment is 0.000 μB/atom. As for the space group: P1 (1).

```
5
Lattice="3.428 0.000 0.001 -0.217 3.535 0.000 -1.449 -1.604 8.438" Properties=species:S:1:pos:R:3 pbc="T T T"
H 0.400 0.070 5.464
H 0.809 0.504 5.005
Si 2.353 0.115 0.912
Se 2.250 1.882 2.390
S -0.810 -1.494 8.005
```

Relative energy of each structure, in eV/atom: arrangement A 0.368; arrangement B 0.000.